# NbCo PBE relaxed
# space group	Pmmn, No. 59
# energy	-8.445	eV per atom
# energy of formation from the pure elements	143	meV per atom
data_NbCo
_symmetry_space_group_name_H-M 'P 1'
_symmetry_Int_Tables_number 1
_cell_length_a 2.7253
_cell_length_b 14.5968
_cell_length_c 4.4672
_cell_angle_alpha 90.00
_cell_angle_beta 90.00
_cell_angle_gamma 90.00
loop_
_symmetry_equiv_pos_as_xyz
'x,y,z'
loop_
_atom_site_label
_atom_site_type_symbol
_atom_site_fract_x
_atom_site_fract_y
_atom_site_fract_z
Nb1 Nb 0.2500 0.0905 0.0957
Nb2 Nb 0.2500 0.4095 0.0957
Nb3 Nb 0.2500 0.7500 0.3795
Nb4 Nb 0.7500 0.2500 0.6205
Nb5 Nb 0.7500 0.5905 0.9043
Nb6 Nb 0.7500 0.9095 0.9043
Co1 Co 0.2500 0.2500 0.1245
Co2 Co 0.2500 0.5649 0.4057
Co3 Co 0.2500 0.9351 0.4057
Co4 Co 0.7500 0.0649 0.5943
Co5 Co 0.7500 0.4351 0.5943
Co6 Co 0.7500 0.7500 0.8755



# Hg2OsO2F4 PBE relaxed
# space group	C2/m, No. 12
# energy	-4.521	eV per atom
# uncorrected formation energy	-1.272	eV/atom
data_Hg2OsO2F4
_symmetry_space_group_name_H-M 'P 1'
_symmetry_Int_Tables_number 1
_cell_length_a 5.6892
_cell_length_b 5.6892
_cell_length_c 5.1876
_cell_angle_alpha 97.29
_cell_angle_beta 97.29
_cell_angle_gamma 86.92
loop_
_symmetry_equiv_pos_as_xyz
'x,y,z'
loop_
_atom_site_label
_atom_site_type_symbol
_atom_site_fract_x
_atom_site_fract_y
_atom_site_fract_z
Hg1 Hg 0.1421 0.1421 0.4281
Hg2 Hg 0.8579 0.8579 0.5719
Os1 Os 0.5000 0.5000 0.0000
O1 O 0.3533 0.3533 0.2079
O2 O 0.6467 0.6467 0.7921
F1 F 0.1955 0.5358 0.7701
F2 F 0.4642 0.8045 0.2299
F3 F 0.5358 0.1955 0.7701
F4 F 0.8045 0.4642 0.2299



# La5Te2Pb2 PBE relaxed
# space group	Cmce, No. 64
# energy	-5.272	eV per atom
# uncorrected formation energy	-1.012	eV/atom
data_La5Te2Pb2
_symmetry_space_group_name_H-M 'P 1'
_symmetry_Int_Tables_number 1
_cell_length_a 9.1944
_cell_length_b 9.1944
_cell_length_c 8.6627
_cell_angle_alpha 90.00
_cell_angle_beta 90.00
_cell_angle_gamma 55.58
loop_
_symmetry_equiv_pos_as_xyz
'x,y,z'
loop_
_atom_site_label
_atom_site_type_symbol
_atom_site_fract_x
_atom_site_fract_y
_atom_site_fract_z
La1 La 0.0000 0.0000 0.0000
La2 La 0.0308 0.6927 0.6646
La3 La 0.1927 0.5308 0.1646
La4 La 0.3073 0.9692 0.6646
La5 La 0.4692 0.8073 0.1646
La6 La 0.5000 0.5000 0.5000
La7 La 0.5308 0.1927 0.8354
La8 La 0.6927 0.0308 0.3354
La9 La 0.8073 0.4692 0.8354
La10 La 0.9692 0.3073 0.3354
Te1 Te 0.1998 0.1998 0.0000
Te2 Te 0.3002 0.3002 0.5000
Te3 Te 0.6998 0.6998 0.5000
Te4 Te 0.8002 0.8002 0.0000
Pb1 Pb 0.1341 0.8659 0.3660
Pb2 Pb 0.3659 0.6341 0.8660
Pb3 Pb 0.6341 0.3659 0.1340
Pb4 Pb 0.8659 0.1341 0.6340



Computed ρ (g cm⁻³) in order:
8.51; 7.04; 7.50